# 1
LaDy5In2 | PBE | relaxed

a = 8.4921 Å, b = 8.4921 Å, c = 8.4921 Å
α = 155.41°, β = 103.36°, γ = 81.93°
Fractional positions:
La: 0.0000 0.0000 0.0000
Dy: 0.1390 0.3643 0.7747
Dy: 0.4104 0.6357 0.7747
Dy: 0.5000 0.0000 0.5000
Dy: 0.5896 0.3643 0.2253
Dy: 0.8610 0.6357 0.2253
In: 0.2423 0.7423 0.5000
In: 0.7577 0.2577 0.5000

Properties
The formation energy is -1.49 eV/f.u.


# 2
PrEuTm2 | PBE | relaxed

a = 5.8637 Å, b = 5.8637 Å, c = 3.9351 Å
α = 90.00°, β = 90.00°, γ = 90.00°
Fractional positions:
Pr: 0.0000 0.0000 0.0000
Eu: 0.5000 0.5000 0.0000
Tm: 0.0000 0.5000 0.5000
Tm: 0.5000 0.0000 0.5000

Properties
The formation energy is 0.55 eV/f.u. As for the energy relative to the lowest polymorph listed for this composition: 0.073 eV/atom.


# 3
LiAg2IrF6 | PBE | relaxed

a = 5.7082 Å, b = 5.7082 Å, c = 5.7082 Å
α = 122.40°, β = 117.64°, γ = 90.02°
Fractional positions:
Li: 0.0000 0.0000 0.0000
Ag: 0.2390 0.7390 0.5000
Ag: 0.7610 0.2610 0.5000
Ir: 0.5000 0.5000 0.0000
F: 0.2408 0.2588 0.4997
F: 0.2408 0.7412 0.9820
F: 0.2491 0.2491 0.0000
F: 0.7509 0.7509 0.0000
F: 0.7592 0.2588 0.0180
F: 0.7592 0.7412 0.5003

Properties
Its formation energy without anion corrections is -1488 meV per atom.


| no. | magnetization (μB/cell) | energy (eV per atom) |
| --- | --- | --- |
| 1 | 0.02 | -4.363 |
| 2 | 7.00 | -5.862 |
| 3 | 0.06 | -4.258 |